1.
A relaxed structure of CuAg, computed with PBE.

abc: 9.636 9.636 5.598
angles: 98.19 98.19 16.69
Sites, in units of the cell vectors:
Cu  0.000  0.000  0.000
Cu  0.004  0.004  0.553
Cu  0.193  0.193  0.126
Cu  0.595  0.595  0.833
Cu  0.792  0.792  0.417
Ag  0.193  0.193  0.623
Ag  0.397  0.397  0.719
Ag  0.408  0.408  0.236
Ag  0.590  0.590  0.309
Ag  0.794  0.794  0.944

Computed properties:
The final energy comes out at -3.17 eV/atom. The formation energy is 0.10 eV/atom. Its symmetry is Cm. The volume is 14.772 Å³ per atom.

***

2.
A relaxed structure of CuAg, computed with PBE.

abc: 2.863 3.414 15.229
angles: 90.00 90.00 90.00
Sites, in units of the cell vectors:
Cu  0.000  0.000  0.000
Cu  0.000  0.000  0.165
Cu  0.000  0.000  0.835
Cu  0.500  0.500  0.083
Cu  0.500  0.500  0.917
Ag  0.000  0.000  0.383
Ag  0.000  0.000  0.617
Ag  0.500  0.500  0.265
Ag  0.500  0.500  0.500
Ag  0.500  0.500  0.735

Computed properties:
The final energy comes out at -3.21 eV/atom. The formation energy is 0.06 eV/atom. Its symmetry is Pmmm. The volume is 14.887 Å³ per atom.

***

3.
A relaxed structure of Cu7Ag2, computed with PBE.

abc: 6.934 6.934 7.916
angles: 124.14 124.14 22.48
Sites, in units of the cell vectors:
Cu  0.000  0.000  0.000
Cu  0.006  0.006  0.667
Cu  0.333  0.333  0.007
Cu  0.338  0.338  0.329
Cu  0.662  0.662  0.671
Cu  0.667  0.667  0.993
Cu  0.994  0.994  0.333
Ag  0.338  0.338  0.676
Ag  0.662  0.662  0.324

Computed properties:
The final energy comes out at -3.43 eV/atom. The formation energy is 0.08 eV/atom. Its symmetry is C2/m. The relative energy among the computed polymorphs is 33.4 kJ/mol of formula units. The volume is 13.258 Å³ per atom.

***

4.
A relaxed structure of CuAg, computed with PBE.

abc: 2.853 3.397 12.270
angles: 90.00 90.02 90.00
Sites, in units of the cell vectors:
Cu  0.248  0.250  0.347
Cu  0.250  0.250  0.552
Cu  0.750  0.750  0.448
Cu  0.752  0.750  0.653
Ag  0.250  0.250  0.073
Ag  0.253  0.250  0.779
Ag  0.747  0.750  0.221
Ag  0.750  0.750  0.927

Computed properties:
The final energy comes out at -3.21 eV/atom. The formation energy is 0.06 eV/atom. Its symmetry is P2_1/m. The volume is 14.866 Å³ per atom.

***

5.
A relaxed structure of CuAg, computed with PBE.

abc: 9.784 9.784 3.925
angles: 90.00 90.00 156.85
Sites, in units of the cell vectors:
Cu  0.000  0.000  0.000
Cu  0.209  0.791  0.000
Cu  0.291  0.709  0.500
Cu  0.709  0.291  0.500
Cu  0.791  0.209  0.000
Ag  0.109  0.891  0.500
Ag  0.391  0.609  0.000
Ag  0.500  0.500  0.500
Ag  0.609  0.391  0.000
Ag  0.891  0.109  0.500

Computed properties:
The final energy comes out at -3.19 eV/atom. The formation energy is 0.08 eV/atom. Its symmetry is Cmmm. The volume is 14.767 Å³ per atom.

***

6.
A relaxed structure of Cu4Ag5, computed with PBE.

abc: 7.183 7.183 6.895
angles: 96.57 96.57 22.95
Sites, in units of the cell vectors:
Cu  0.109  0.109  0.191
Cu  0.330  0.330  0.508
Cu  0.670  0.670  0.492
Cu  0.891  0.891  0.809
Ag  0.000  0.000  0.500
Ag  0.230  0.230  0.819
Ag  0.441  0.441  0.149
Ag  0.559  0.559  0.851
Ag  0.770  0.770  0.181

Computed properties:
The final energy comes out at -3.13 eV/atom. The formation energy is 0.09 eV/atom. Its symmetry is C2/m. The relative energy among the computed polymorphs is 46.5 kJ/mol of formula units. The volume is 15.309 Å³ per atom.

***

7.
A relaxed structure of Cu4Ag5, computed with PBE.

abc: 5.001 5.001 10.780
angles: 111.46 111.46 33.31
Sites, in units of the cell vectors:
Cu  0.028  0.028  0.143
Cu  0.341  0.341  0.970
Cu  0.659  0.659  0.030
Cu  0.972  0.972  0.857
Ag  0.000  0.000  0.500
Ag  0.325  0.325  0.628
Ag  0.348  0.348  0.241
Ag  0.652  0.652  0.759
Ag  0.675  0.675  0.372

Computed properties:
The final energy comes out at -3.17 eV/atom. The formation energy is 0.05 eV/atom. Its symmetry is C2/m. The relative energy among the computed polymorphs is 11.0 kJ/mol of formula units. The volume is 15.205 Å³ per atom.

***

8.
A relaxed structure of CuAg, computed with PBE.

abc: 2.816 3.668 11.575
angles: 90.00 90.00 90.00
Sites, in units of the cell vectors:
Cu  0.000  0.000  0.000
Cu  0.000  0.000  0.213
Cu  0.000  0.000  0.753
Cu  0.500  0.500  0.107
Ag  0.000  0.000  0.482
Ag  0.500  0.500  0.338
Ag  0.500  0.500  0.628
Ag  0.500  0.500  0.876

Computed properties:
The final energy comes out at -3.19 eV/atom. The formation energy is 0.08 eV/atom. Its symmetry is Pmm2. The volume is 14.942 Å³ per atom.

***

9.
A relaxed structure of CuAg, computed with PBE.

abc: 4.790 4.804 7.285
angles: 108.49 102.83 99.70
Sites, in units of the cell vectors:
Cu  0.000  0.000  0.000
Cu  0.108  0.196  0.703
Cu  0.401  0.811  0.810
Cu  0.599  0.189  0.190
Cu  0.892  0.804  0.297
Ag  0.185  0.385  0.392
Ag  0.300  0.606  0.096
Ag  0.500  0.000  0.500
Ag  0.700  0.394  0.904
Ag  0.815  0.615  0.608

Computed properties:
The final energy comes out at -3.17 eV/atom. The formation energy is 0.10 eV/atom. Its symmetry is P-1. The volume is 14.979 Å³ per atom.

***

10.
A relaxed structure of Cu3Ag2, computed with PBE.

abc: 7.372 7.372 7.441
angles: 104.92 104.92 21.51
Sites, in units of the cell vectors:
Cu  0.000  0.000  0.000
Cu  0.001  0.001  0.504
Cu  0.406  0.406  0.709
Cu  0.591  0.591  0.299
Cu  0.808  0.808  0.892
Cu  0.819  0.819  0.425
Ag  0.205  0.205  0.128
Ag  0.205  0.205  0.586
Ag  0.403  0.403  0.200
Ag  0.600  0.600  0.803

Computed properties:
The final energy comes out at -3.26 eV/atom. The formation energy is 0.10 eV/atom. Its symmetry is Cm. The relative energy among the computed polymorphs is 26.6 kJ/mol of formula units. The volume is 14.307 Å³ per atom.

***

11.
A relaxed structure of Cu3Ag2, computed with PBE.

abc: 5.973 5.973 9.070
angles: 99.85 99.85 26.72
Sites, in units of the cell vectors:
Cu  0.000  0.000  0.000
Cu  0.187  0.187  0.622
Cu  0.502  0.502  0.531
Cu  0.586  0.586  0.809
Cu  0.681  0.681  0.100
Cu  0.902  0.902  0.715
Ag  0.094  0.094  0.315
Ag  0.290  0.290  0.902
Ag  0.386  0.386  0.201
Ag  0.802  0.802  0.433

Computed properties:
The final energy comes out at -3.27 eV/atom. The formation energy is 0.09 eV/atom. Its symmetry is Cm. The relative energy among the computed polymorphs is 22.9 kJ/mol of formula units. The volume is 14.325 Å³ per atom.

***

12.
A relaxed structure of CuAg2, computed with PBE.

abc: 2.850 2.850 11.685
angles: 90.00 90.00 90.00
Sites, in units of the cell vectors:
Cu  0.000  0.000  0.158
Cu  0.000  0.000  0.842
Ag  0.000  0.000  0.500
Ag  0.500  0.500  0.000
Ag  0.500  0.500  0.315
Ag  0.500  0.500  0.685

Computed properties:
The final energy comes out at -3.05 eV/atom. The formation energy is 0.07 eV/atom. Its symmetry is P4/mmm. The relative energy among the computed polymorphs is 10.9 kJ/mol of formula units. The volume is 15.821 Å³ per atom.

***

13.
A relaxed structure of Cu3Ag2, computed with PBE.

abc: 7.268 7.268 4.669
angles: 96.31 96.31 141.83
Sites, in units of the cell vectors:
Cu  0.000  0.000  0.000
Cu  0.094  0.906  0.500
Cu  0.300  0.700  0.500
Cu  0.500  0.500  0.500
Cu  0.700  0.300  0.500
Cu  0.906  0.094  0.500
Ag  0.196  0.804  0.000
Ag  0.402  0.598  0.000
Ag  0.598  0.402  0.000
Ag  0.804  0.196  0.000

Computed properties:
The final energy comes out at -3.24 eV/atom. The formation energy is 0.12 eV/atom. Its symmetry is C2/m. The relative energy among the computed polymorphs is 35.7 kJ/mol of formula units. The volume is 14.358 Å³ per atom.

***

14.
A relaxed structure of Cu5Ag3, computed with PBE.

abc: 17.536 17.536 17.536
angles: 8.98 8.98 8.98
Sites, in units of the cell vectors:
Cu  0.000  0.000  0.000
Cu  0.123  0.123  0.123
Cu  0.248  0.248  0.248
Cu  0.752  0.752  0.752
Cu  0.877  0.877  0.877
Ag  0.376  0.376  0.376
Ag  0.500  0.500  0.500
Ag  0.624  0.624  0.624

Computed properties:
The final energy comes out at -3.27 eV/atom. The formation energy is 0.11 eV/atom. Its symmetry is R-3m. The relative energy among the computed polymorphs is 50.3 kJ/mol of formula units. The volume is 14.240 Å³ per atom.

***

15.
A relaxed structure of Cu3Ag2, computed with PBE.

abc: 5.911 5.911 9.094
angles: 99.79 99.79 27.04
Sites, in units of the cell vectors:
Cu  0.043  0.043  0.133
Cu  0.158  0.158  0.459
Cu  0.351  0.351  0.046
Cu  0.649  0.649  0.954
Cu  0.842  0.842  0.541
Cu  0.957  0.957  0.867
Ag  0.260  0.260  0.757
Ag  0.459  0.459  0.345
Ag  0.541  0.541  0.655
Ag  0.740  0.740  0.243

Computed properties:
The final energy comes out at -3.27 eV/atom. The formation energy is 0.09 eV/atom. Its symmetry is C2/m. The relative energy among the computed polymorphs is 23.1 kJ/mol of formula units. The volume is 14.225 Å³ per atom.

***

16.
A relaxed structure of Cu3Ag2, computed with PBE.

abc: 4.723 2.767 11.118
angles: 90.00 97.81 90.00
Sites, in units of the cell vectors:
Cu  0.000  0.000  0.000
Cu  0.091  0.500  0.808
Cu  0.190  0.000  0.610
Cu  0.377  0.000  0.186
Cu  0.477  0.500  0.008
Cu  0.885  0.500  0.179
Ag  0.282  0.500  0.393
Ag  0.585  0.000  0.814
Ag  0.697  0.500  0.602
Ag  0.781  0.000  0.381

Computed properties:
The final energy comes out at -3.26 eV/atom. The formation energy is 0.10 eV/atom. Its symmetry is Pm. The relative energy among the computed polymorphs is 30.0 kJ/mol of formula units. The volume is 14.396 Å³ per atom.

***

17.
A relaxed structure of CuAg, computed with PBE.

abc: 4.764 4.764 7.634
angles: 112.69 112.69 34.08
Sites, in units of the cell vectors:
Cu  0.000  0.000  0.000
Cu  0.336  0.336  0.143
Cu  0.664  0.664  0.857
Ag  0.000  0.000  0.500
Ag  0.332  0.332  0.688
Ag  0.668  0.668  0.312

Computed properties:
The final energy comes out at -3.19 eV/atom. The formation energy is 0.09 eV/atom. Its symmetry is C2/m. The volume is 14.804 Å³ per atom.

***

18.
A relaxed structure of Cu4Ag3, computed with PBE.

abc: 15.489 15.489 15.489
angles: 10.27 10.27 10.27
Sites, in units of the cell vectors:
Cu  0.064  0.064  0.064
Cu  0.355  0.355  0.355
Cu  0.645  0.645  0.645
Cu  0.936  0.936  0.936
Ag  0.221  0.221  0.221
Ag  0.500  0.500  0.500
Ag  0.779  0.779  0.779

Computed properties:
The final energy comes out at -3.24 eV/atom. The formation energy is 0.09 eV/atom. Its symmetry is R-3m. The relative energy among the computed polymorphs is 29.9 kJ/mol of formula units. The volume is 14.654 Å³ per atom.

***

19.
A relaxed structure of Cu3Ag2, computed with PBE.

abc: 4.755 4.755 8.622
angles: 90.38 90.38 47.12
Sites, in units of the cell vectors:
Cu  0.053  0.053  0.342
Cu  0.156  0.156  0.052
Cu  0.254  0.254  0.759
Cu  0.746  0.746  0.241
Cu  0.844  0.844  0.948
Cu  0.947  0.947  0.658
Ag  0.350  0.350  0.449
Ag  0.450  0.450  0.148
Ag  0.550  0.550  0.852
Ag  0.650  0.650  0.551

Computed properties:
The final energy comes out at -3.26 eV/atom. The formation energy is 0.10 eV/atom. Its symmetry is C2/m. The relative energy among the computed polymorphs is 28.8 kJ/mol of formula units. The volume is 14.285 Å³ per atom.

***

20.
A relaxed structure of Cu3Ag2, computed with PBE.

abc: 5.653 5.653 9.325
angles: 96.82 96.82 28.87
Sites, in units of the cell vectors:
Cu  0.040  0.040  0.128
Cu  0.157  0.157  0.463
Cu  0.348  0.348  0.044
Cu  0.652  0.652  0.956
Cu  0.843  0.843  0.537
Cu  0.960  0.960  0.872
Ag  0.263  0.263  0.755
Ag  0.461  0.461  0.343
Ag  0.539  0.539  0.657
Ag  0.737  0.737  0.245

Computed properties:
The final energy comes out at -3.27 eV/atom. The formation energy is 0.08 eV/atom. Its symmetry is C2/m. The relative energy among the computed polymorphs is 20.7 kJ/mol of formula units. The volume is 14.277 Å³ per atom.